! Y3ErRh, optimized geometry, DFT PBE; values from VASP
! Energy above the most stable polymorph in this dataset, meV per atom: 192
! M_tot, Bohr magnetons per cell: 0.00
! ΔH_f (0 K), eV/f.u.: -1.00
! Calculated density, Mg/m³: 5.6
&SYSTEM
  ibrav = 0, nat = 5, ntyp = 3
/
ATOMIC_SPECIES
Y 88.91 Y.upf
Rh 102.91 Rh.upf
Er 167.26 Er.upf
ATOMIC_POSITIONS crystal
Y 0.000 0.500 0.000
Y 0.000 0.000 0.500
Y 0.500 0.000 0.000
Rh 0.000 0.000 0.000
Er 0.500 0.500 0.500
CELL_PARAMETERS angstrom
-3.643 -3.332 2.217
3.122 -0.490 4.393
-2.504 4.236 2.252